No. 1
## ZnCdCu2F8 (PBE)

Data for an optimized crystal structure of ZnCdCu2F8.

Summary:
- size of the total moment (μB per formula unit) = 2.0
- E_form (uncorrected) (kcal/mol of atoms) = -41.4

a b c (Å): 5.2962 5.2962 6.5528
angles (deg): 113.84 113.84 90.00
Fractional positions:
F 0.7453 0.8455 0.1104
F 0.3446 0.9848 0.3749
F 0.7351 0.2547 0.8896
F 0.0303 0.3901 0.3749
F 0.3651 0.2649 0.1104
F 0.1545 0.6349 0.8896
F 0.6099 0.6554 0.6251
F 0.0152 0.9697 0.6251
Zn 0.0000 0.0000 0.0000
Cd 0.7500 0.2500 0.5000
Cu 0.5000 0.5000 0.0000
Cu 0.2500 0.7500 0.5000

=====

No. 2
## ZrCd2CuF (PBE)

Data for an optimized crystal structure of ZrCd2CuF.

Summary:
- size of the total moment (μB per formula unit) = 0.0
- E_form (uncorrected) (kcal/mol of atoms) = -3.4

a b c (Å): 5.1133 3.7633 5.1133
angles (deg): 90.00 90.00 90.00
Fractional positions:
Cd 0.5000 0.0000 0.0000
Cd 0.0000 0.0000 0.5000
F 0.0000 0.0000 0.0000
Zr 0.5000 0.5000 0.5000
Cu 0.0000 0.5000 0.0000